[1]
Here is an optimized crystal structure of TlIrRh2 from Alexandria. Energies are from PBE.

polymorph energy (0 for the lowest one) = 0 meV per atom
formation enthalpy at 0 K = 0.20 eV/atom

Structure (CIF):
```
data_TlIrRh2
_chemical_formula_sum 'Tl1 Ir1 Rh2'
_space_group_name_H-M_alt 'P 4/m m m'
_space_group_IT_number 123
_space_group_name_Hall '-P 4 2'
_cell_length_a 2.873
_cell_length_b 2.873
_cell_length_c 7.862
_cell_angle_alpha 90.00
_cell_angle_beta 90.00
_cell_angle_gamma 90.00
loop_
_atom_site_label
_atom_site_type_symbol
_atom_site_fract_x
_atom_site_fract_y
_atom_site_fract_z
Tl1 Tl 0.000 0.000 0.000
Ir1 Ir 0.000 0.000 0.500
Rh1 Rh 0.500 0.500 0.272
```

***

[2]
Here is an optimized crystal structure of GaCo2Cu from Alexandria. Energies are from PBE.

formation enthalpy at 0 K = 0.31 eV/atom

Structure (CIF):
```
data_GaCo2Cu
_chemical_formula_sum 'Ga4 Co8 Cu4'
_space_group_name_H-M_alt 'I -4 2 d'
_space_group_IT_number 122
_space_group_name_Hall 'I -4 2bw'
_cell_length_a 3.469
_cell_length_b 3.469
_cell_length_c 17.572
_cell_angle_alpha 90.00
_cell_angle_beta 90.00
_cell_angle_gamma 90.00
loop_
_atom_site_label
_atom_site_type_symbol
_atom_site_fract_x
_atom_site_fract_y
_atom_site_fract_z
Ga1 Ga 0.000 0.000 0.000
Co1 Co 0.249 0.250 0.625
Cu1 Cu 0.000 0.000 0.500
```

***

[3]
Here is an optimized crystal structure of Tb2PdPbO5 from Alexandria. Energies are from PBE.

energy relative to the elements, uncorrected = -214.9 kJ/mol of atoms

Structure (CIF):
```
data_Tb2PdPbO5
_chemical_formula_sum 'Tb4 Pd2 Pb2 O10'
_space_group_name_H-M_alt 'P 4/m b m'
_space_group_IT_number 127
_space_group_name_Hall '-P 4 2ab'
_cell_length_a 6.568
_cell_length_b 6.568
_cell_length_c 5.869
_cell_angle_alpha 90.00
_cell_angle_beta 90.00
_cell_angle_gamma 90.00
loop_
_atom_site_label
_atom_site_type_symbol
_atom_site_fract_x
_atom_site_fract_y
_atom_site_fract_z
Tb1 Tb 0.173 0.327 0.000
Pd1 Pd 0.000 0.500 0.500
Pb1 Pb 0.000 0.000 0.500
O1 O 0.000 0.000 0.000
O2 O 0.141 0.641 0.241
```

***

[4]
Here is an optimized crystal structure of SrCaP2 from Alexandria. Energies are from PBE.

formation enthalpy at 0 K = -0.73 eV/atom

Structure (CIF):
```
data_SrCaP2
_chemical_formula_sum 'Sr2 Ca2 P4'
_space_group_name_H-M_alt 'C m m m'
_space_group_IT_number 65
_space_group_name_Hall '-C 2 2'
_cell_length_a 7.339
_cell_length_b 7.853
_cell_length_c 3.261
_cell_angle_alpha 90.00
_cell_angle_beta 90.00
_cell_angle_gamma 90.00
loop_
_atom_site_label
_atom_site_type_symbol
_atom_site_fract_x
_atom_site_fract_y
_atom_site_fract_z
Sr1 Sr 0.000 0.000 0.000
Ca1 Ca 0.000 0.500 0.000
P1 P 0.250 0.250 0.500
```

***

[5]
Here is an optimized crystal structure of YHg2Cl from Alexandria. Energies are from PBE.

polymorph energy (0 for the lowest one) = 162 meV per atom
energy relative to the elements, uncorrected = -52.9 kJ/mol of atoms

Structure (CIF):
```
data_YHg2Cl
_chemical_formula_sum 'Y1 Hg2 Cl1'
_space_group_name_H-M_alt 'P 4/m m m'
_space_group_IT_number 123
_space_group_name_Hall '-P 4 2'
_cell_length_a 4.331
_cell_length_b 4.331
_cell_length_c 5.702
_cell_angle_alpha 90.00
_cell_angle_beta 90.00
_cell_angle_gamma 90.00
loop_
_atom_site_label
_atom_site_type_symbol
_atom_site_fract_x
_atom_site_fract_y
_atom_site_fract_z
Y1 Y 0.000 0.000 0.000
Hg1 Hg 0.500 0.500 0.248
Cl1 Cl 0.000 0.000 0.500
```

***

[6]
Here is an optimized crystal structure of CuH2O2 from Alexandria. Energies are from PBE.

polymorph energy (0 for the lowest one) = 949 meV per atom

Structure (CIF):
```
data_CuH2O2
_chemical_formula_sum 'Cu2 H4 O4'
_space_group_name_H-M_alt 'I 4/m m m'
_space_group_IT_number 139
_space_group_name_Hall '-I 4 2'
_cell_length_a 2.603
_cell_length_b 2.603
_cell_length_c 9.031
_cell_angle_alpha 90.00
_cell_angle_beta 90.00
_cell_angle_gamma 90.00
loop_
_atom_site_label
_atom_site_type_symbol
_atom_site_fract_x
_atom_site_fract_y
_atom_site_fract_z
Cu1 Cu 0.000 0.000 0.000
H1 H 0.000 0.500 0.250
O1 O 0.000 0.000 0.348
```

***

| no. | raw total energy (eV per atom) | calculated volume (Å³/atom) | N(E_F) (states/eV per cell) |
| --- | --- | --- | --- |
| 1 | -6.283 | 16.23 | 3.23 |
| 2 | -5.028 | 13.21 | 14.84 |
| 3 | -7.000 | 14.06 | 0.00 |
| 4 | -4.358 | 23.49 | 3.00 |
| 5 | -2.777 | 26.74 | 2.06 |
| 6 | -3.974 | 6.12 | 4.15 |